Material: ScTiCo2O6
Method: DFT, PBE with a Hubbard U
State: optimized geometry

Geometry as POSCAR:
```
ScTiCo2O6
1.0
2.535 1.463 4.674
-2.535 1.463 4.674
0.000 -2.927 4.674
Sc Ti Co O
1 1 2 6
direct
0.000 0.000 0.000 Sc
0.490 0.490 0.490 Ti
0.284 0.284 0.284 Co
0.798 0.798 0.798 Co
0.077 0.687 0.419 O
0.195 0.589 0.870 O
0.419 0.077 0.687 O
0.589 0.870 0.195 O
0.687 0.419 0.077 O
0.870 0.195 0.589 O
```

Computed properties:
Its symmetry is R3. The calculation puts the energy at -7.627 eV/atom.